i:
## BaCl5 (PBE-GGA)

Data for a geometry-optimized BaCl5 structure.

Structure (POSCAR):
```
BaCl5
1.0
-3.6242 -1.1326 2.8994
1.6554 -4.1568 -3.5161
10.6354 -5.2689 11.2363
Cl Ba
10 2
direct
0.4669 0.3623 0.4511
0.5331 0.6377 0.5489
0.7751 0.0538 0.6253
0.2249 0.9462 0.3747
0.4669 0.3623 0.0489
0.5331 0.6377 0.9511
0.7751 0.0538 0.8747
0.9659 0.4312 0.2500
0.0341 0.5688 0.7500
0.2249 0.9462 0.1253
0.6647 0.8263 0.2500
0.3353 0.1737 0.7500
```

Results
Its space group is P2_1/m, No. 11. As for the theoretical density: 2.6 g/cm³.



ii:
## BaCl5 (PBE-GGA)

Data for a geometry-optimized BaCl5 structure.

Structure (POSCAR):
```
BaCl5
1.0
2.8380 -4.9156 0.0000
2.8380 4.9156 0.0000
0.0000 0.0000 6.1682
Cl Ba
5 1
direct
0.0000 0.7204 0.0000
0.3333 0.6667 0.5000
0.7204 0.0000 0.0000
0.6667 0.3333 0.5000
0.2796 0.2796 0.0000
0.0000 0.0000 0.5000
```

Results
Its space group is P-62m, No. 189. As for the theoretical density: 3.0 g/cm³.



Most stable: i (next structure +29.9 kJ/mol of atoms)



i:
## BaCl5 (PBE-GGA)

Data for a geometry-optimized BaCl5 structure.

Structure (POSCAR):
```
BaCl5
1.0
4.9729 0.0000 0.0000
0.0000 4.9729 0.0000
0.0000 0.0000 7.9058
Cl Ba
5 1
direct
0.0000 0.0000 0.5000
0.0000 0.0000 0.2013
0.0000 0.0000 0.7987
0.5000 0.5000 0.6525
0.5000 0.5000 0.3475
0.5000 0.5000 0.0000
```

Results
Its space group is P4/mmm, No. 123. As for the theoretical density: 2.7 g/cm³.



ii:
## BaCl5 (PBE-GGA)

Data for a geometry-optimized BaCl5 structure.

Structure (POSCAR):
```
BaCl5
1.0
3.2964 -5.9543 0.0000
3.2964 5.9543 0.0000
0.0000 0.0000 4.3767
Cl Ba
5 1
direct
0.6732 0.3268 0.5000
0.8667 0.1333 0.0000
0.3268 0.6732 0.5000
0.1333 0.8667 0.0000
0.0000 0.0000 0.5000
0.5000 0.5000 0.0000
```

Results
Its space group is Cmmm, No. 65. As for the theoretical density: 3.0 g/cm³.



iii:
## BaCl5 (PBE-GGA)

Data for a geometry-optimized BaCl5 structure.

Structure (POSCAR):
```
BaCl5
1.0
2.1274 -10.2888 0.0000
2.1274 10.2888 0.0000
0.0000 0.0000 5.1161
Cl Ba
5 1
direct
0.7398 0.2602 0.5000
0.3629 0.6371 0.0000
0.2043 0.7957 0.5000
0.4723 0.5277 0.5000
0.5818 0.4182 0.0000
0.9723 0.0277 0.0000
```

Results
Its space group is Amm2, No. 38. As for the theoretical density: 2.3 g/cm³.



iv:
## BaCl5 (PBE-GGA)

Data for a geometry-optimized BaCl5 structure.

Structure (POSCAR):
```
BaCl5
1.0
0.9211 4.1243 -3.3864
-1.4862 0.9765 5.1151
7.6169 0.1004 2.1940
Cl Ba
5 1
direct
0.0000 0.5000 0.5000
0.5000 0.0000 0.5000
0.5000 0.5000 0.5000
0.3333 0.6667 0.0000
0.6667 0.3333 0.0000
0.0000 0.0000 0.0000
```

Results
Its space group is P6/mmm, No. 191. As for the theoretical density: 2.6 g/cm³.



Most stable: iii (next structure +10.0 kJ/mol of atoms)



i:
## Ba3Cl5 (PBE-GGA)

Data for a geometry-optimized Ba3Cl5 structure.

Structure (POSCAR):
```
Ba3Cl5
1.0
4.3212 -6.3210 0.0000
4.3212 6.3210 0.0000
0.0000 0.0000 4.8341
Cl Ba
5 3
direct
0.0000 0.5000 0.0000
0.5000 0.0000 0.0000
0.7166 0.7166 0.5000
0.0000 0.0000 0.0000
0.2834 0.2834 0.5000
0.1606 0.8394 0.5000
0.5000 0.5000 0.0000
0.8394 0.1606 0.5000
```

Results
Its space group is Cmmm, No. 65. As for the theoretical density: 3.7 g/cm³.



ii:
## Ba3Cl5 (PBE-GGA)

Data for a geometry-optimized Ba3Cl5 structure.

Structure (POSCAR):
```
Ba3Cl5
1.0
-3.6986 -4.2008 -7.2213
8.7918 1.8044 1.7090
-1.8069 -6.0568 6.6002
Ba Cl
6 10
direct
0.3476 0.1510 0.5000
0.7499 0.7503 0.0000
0.1505 0.6509 0.8029
0.6505 0.8480 0.5000
0.8476 0.3480 0.1971
0.2499 0.2503 0.0000
0.4194 0.7040 0.1227
0.7035 0.5812 0.2841
0.2036 0.9198 0.1227
0.0808 0.2040 0.2841
0.5806 0.2969 0.8773
0.7965 0.0810 0.8773
0.7491 0.2495 0.4999
0.9188 0.7964 0.7159
0.2960 0.4192 0.7159
0.2491 0.7496 0.5001
```

Results
Its space group is I4cm, No. 108. As for the theoretical density: 3.7 g/cm³.



Most stable: ii (next structure +4.1 kJ/mol of atoms)



i:
## BaCoCl2 (PBE-GGA)

Data for a geometry-optimized BaCoCl2 structure.

Structure (POSCAR):
```
BaCoCl2
1.0
-1.3325 1.8070 -3.1466
1.1795 -2.9543 -2.1961
-5.9636 -2.9843 0.8116
Cl Ba Co
2 1 1
direct
0.5000 0.5000 0.3361
0.0000 0.0000 0.0115
0.5000 0.5000 0.7707
0.0000 0.0000 0.3818
```

Results
Its space group is P4mm, No. 99. As for the theoretical density: 4.4 g/cm³.



ii:
## BaCoCl2 (PBE-GGA)

Data for a geometry-optimized BaCoCl2 structure.

Structure (POSCAR):
```
BaCoCl2
1.0
-2.2266 5.9215 4.4652
-3.4064 2.5038 6.4875
0.5210 3.8003 6.7265
Co Cl Ba
1 2 1
direct
0.5291 0.5291 0.5291
0.1988 0.1988 0.1988
0.0102 0.0102 0.0102
0.7619 0.7619 0.7619
```

Results
Its space group is R3m, No. 160. As for the theoretical density: 4.1 g/cm³.



Most stable: ii (next structure +9.2 kJ/mol of atoms)



i:
## BaCoCl2 (PBE-GGA)

Data for a geometry-optimized BaCoCl2 structure.

Structure (POSCAR):
```
BaCoCl2
1.0
-2.4862 0.1612 5.4532
0.5273 -2.5203 5.4143
2.9832 3.3487 0.2651
Cl Ba Co
2 1 1
direct
0.6931 0.6931 0.5902
0.9863 0.9863 0.9497
0.2952 0.2952 0.1560
0.5254 0.5254 0.8042
```

Results
Its space group is Cm, No. 8. As for the theoretical density: 4.4 g/cm³.



ii:
## BaCoCl2 (PBE-GGA)

Data for a geometry-optimized BaCoCl2 structure.

Structure (POSCAR):
```
BaCoCl2
1.0
-2.1787 3.0980 3.1221
-4.4476 -2.1243 -0.9958
0.5895 -2.6682 3.0590
Cl Co Ba
2 1 1
direct
0.5000 0.5000 0.0000
0.0000 0.0000 0.0000
0.5000 0.0000 0.5000
0.0000 0.5000 0.5000
```

Results
Its space group is Pmmm, No. 47. As for the theoretical density: 4.4 g/cm³.



iii:
## BaCoCl2 (PBE-GGA)

Data for a geometry-optimized BaCoCl2 structure.

Structure (POSCAR):
```
BaCoCl2
1.0
-2.5031 3.5596 3.2935
0.9462 -2.1724 4.9162
2.7811 2.1041 -4.1978
Cl Ba Co
2 1 1
direct
0.4300 0.4300 0.0000
0.0700 0.0700 0.0000
0.7500 0.2500 0.5000
0.2500 0.7500 0.5000
```

Results
Its space group is Immm, No. 71. As for the theoretical density: 4.8 g/cm³.



iv:
## BaCoCl2 (PBE-GGA)

Data for a geometry-optimized BaCoCl2 structure.

Structure (POSCAR):
```
BaCoCl2
1.0
5.3590 0.0000 0.0000
2.6795 4.6410 0.0000
2.6795 1.5470 4.3756
Ba Co Cl
1 1 2
direct
0.5000 0.5000 0.5000
0.7500 0.7500 0.7500
0.0000 0.0000 0.0000
0.2500 0.2500 0.2500
```

Results
Its space group is F-43m, No. 216. As for the theoretical density: 4.1 g/cm³.



Most stable: i (next structure +0.6 kJ/mol of atoms)



i:
## BaCoCl2 (PBE-GGA)

Data for a geometry-optimized BaCoCl2 structure.

Structure (POSCAR):
```
BaCoCl2
1.0
2.8745 -4.0442 7.1498
5.5819 -1.2207 6.5643
2.1937 -0.3587 8.4141
Co Cl Ba
1 2 1
direct
0.5000 0.5000 0.5000
0.8799 0.8799 0.8799
0.1201 0.1201 0.1201
0.0000 0.0000 0.0000
```

Results
Its space group is R-3m, No. 166. As for the theoretical density: 3.9 g/cm³.



ii:
## BaCoCl2 (PBE-GGA)

Data for a geometry-optimized BaCoCl2 structure.

Structure (POSCAR):
```
BaCoCl2
1.0
-5.0414 3.6605 -1.4810
-6.0342 -1.6401 1.3810
5.7710 0.4019 2.7463
Co Ba Cl
1 1 2
direct
0.5000 0.5000 0.0000
0.7500 0.2500 0.5000
0.0000 0.0000 0.0000
0.2500 0.7500 0.5000
```

Results
Its space group is I-4m2, No. 119. As for the theoretical density: 4.2 g/cm³.



iii:
## BaCoCl2 (PBE-GGA)

Data for a geometry-optimized BaCoCl2 structure.

Structure (POSCAR):
```
BaCoCl2
1.0
-1.4102 2.5043 2.5625
-3.5439 -1.9186 -0.0753
1.8639 -3.7205 4.6617
Co Ba Cl
1 1 2
direct
0.5000 0.2500 0.2500
0.5000 0.7500 0.7500
0.0000 0.2534 0.4887
0.0000 0.2466 0.0113
```

Results
Its space group is P2/m, No. 10. As for the theoretical density: 4.6 g/cm³.



Most stable: iii (next structure +17.7 kJ/mol of atoms)